# 1
# HgPd4Pb PBE relaxed
data_HgPd4Pb
_chemical_formula_sum 'Hg2 Pd8 Pb2'
_cell_length_a 9.496
_cell_length_b 3.127
_cell_length_c 7.882
_cell_angle_alpha 90.00
_cell_angle_beta 114.40
_cell_angle_gamma 90.00
_space_group_name_H-M_alt 'C 1 2/m 1'
_space_group_IT_number 12
loop_
_space_group_symop_operation_xyz
'x,y,z'
'-x,-y,-z'
'-x,y,-z'
'x,-y,z'
'x+1/2,y+1/2,z'
'-x+1/2,-y+1/2,-z'
'-x+1/2,y+1/2,-z'
'x+1/2,-y+1/2,z'
loop_
_atom_site_label
_atom_site_type_symbol
_atom_site_fract_x
_atom_site_fract_y
_atom_site_fract_z
Hg1 Hg 0.000 0.000 0.000
Pd1 Pd 0.166 0.500 0.837
Pd2 Pd 0.169 0.500 0.331
Pb1 Pb 0.000 0.000 0.500
# Offset from the most stable computed form (eV per formula unit): 0.00
# Total magnetic moment (μB per cell): 0.00



# 2
# HgPd4Pb PBE relaxed
data_HgPd4Pb
_chemical_formula_sum 'Hg4 Pd16 Pb4'
_cell_length_a 3.099
_cell_length_b 17.420
_cell_length_c 8.119
_cell_angle_alpha 90.00
_cell_angle_beta 90.00
_cell_angle_gamma 90.00
_space_group_name_H-M_alt 'C m c m'
_space_group_IT_number 63
_space_group_name_Hall '-C 2c 2'
loop_
_atom_site_label
_atom_site_type_symbol
_atom_site_fract_x
_atom_site_fract_y
_atom_site_fract_z
Hg1 Hg 0.000 0.239 0.250
Pd1 Pd 0.000 0.000 0.000
Pd2 Pd 0.000 0.161 0.539
Pd3 Pd 0.000 0.404 0.750
Pb1 Pb 0.000 0.433 0.250
# Offset from the most stable computed form (eV per formula unit): 0.46
# Total magnetic moment (μB per cell): 0.00



# 3
# HgPd5Pb PBE relaxed
data_HgPd5Pb
_chemical_formula_sum 'Hg1 Pd5 Pb1'
_cell_length_a 4.009
_cell_length_b 4.009
_cell_length_c 8.051
_cell_angle_alpha 90.00
_cell_angle_beta 90.00
_cell_angle_gamma 90.00
_space_group_name_H-M_alt 'P 4/m m m'
_space_group_IT_number 123
_space_group_name_Hall '-P 4 2'
loop_
_atom_site_label
_atom_site_type_symbol
_atom_site_fract_x
_atom_site_fract_y
_atom_site_fract_z
Hg1 Hg 0.000 0.000 0.000
Pd1 Pd 0.000 0.500 0.259
Pd2 Pd 0.500 0.500 0.000
Pb1 Pb 0.500 0.500 0.500
# Total magnetic moment (μB per cell): 0.00



no.,density of states at the Fermi level (states/eV/atom),raw total energy (eV for the cell shown)
1,0.46,-51.39
2,0.55,-100.96
3,0.70,-30.90